! CaTiAsRu2 | Alexandria | PBE-GGA | relaxed; values from VASP
&SYSTEM
  ibrav = 0, nat = 5, ntyp = 4
/
ATOMIC_SPECIES
Ca 40.08 Ca.upf
Ti 47.87 Ti.upf
As 74.92 As.upf
Ru 101.07 Ru.upf
ATOMIC_POSITIONS crystal
Ca 0.000 0.000 0.000
Ti 0.000 0.000 0.500
As 0.500 0.500 0.500
Ru 0.000 0.500 0.000
Ru 0.500 0.000 0.000
CELL_PARAMETERS angstrom
4.630 0.000 0.000
0.000 4.630 0.000
0.000 0.000 4.769
! - Space group: No. 123
! - ΔE_f: 1.918 eV per atom